No. 1
Compound: BaGe2As2
Source: Alexandria
Functional: PBE-GGA
Structure: relaxed

```
data_BaGe2As2
_chemical_formula_sum 'Ba4 Ge8 As8'
_cell_length_a 7.936
_cell_length_b 7.936
_cell_length_c 8.805
_cell_angle_alpha 90.00
_cell_angle_beta 90.00
_cell_angle_gamma 90.00
_space_group_name_H-M_alt 'P 42 m c'
_space_group_IT_number 105
loop_
_space_group_symop_operation_xyz
'x,y,z'
'-y,x,z+1/2'
'-x,-y,z'
'y,-x,z+1/2'
'-x,y,z'
'y,x,z+1/2'
'x,-y,z'
'-y,-x,z+1/2'
loop_
_atom_site_label
_atom_site_fract_x
_atom_site_fract_y
_atom_site_fract_z
Ba1 0.000 0.000 0.000
Ba2 0.000 0.500 0.027
Ge1 0.163 0.500 0.611
Ge2 0.334 0.500 0.370
As1 0.230 0.245 0.758
```

Its formation energy from the elements is -508 meV/atom.

=====

No. 2
Compound: Sc2Tl3BiSe6
Source: Alexandria
Functional: PBE-GGA
Structure: relaxed

```
data_Sc2Tl3BiSe6
_chemical_formula_sum 'Sc4 Tl6 Bi2 Se12'
_cell_length_a 7.101
_cell_length_b 12.285
_cell_length_c 8.046
_cell_angle_alpha 90.00
_cell_angle_beta 107.06
_cell_angle_gamma 90.00
_space_group_name_H-M_alt 'C 1 2/m 1'
_space_group_IT_number 12
loop_
_space_group_symop_operation_xyz
'x,y,z'
'-x,-y,-z'
'-x,y,-z'
'x,-y,z'
'x+1/2,y+1/2,z'
'-x+1/2,-y+1/2,-z'
'-x+1/2,y+1/2,-z'
'x+1/2,-y+1/2,z'
loop_
_atom_site_label
_atom_site_fract_x
_atom_site_fract_y
_atom_site_fract_z
Sc1 0.000 0.167 0.000
Tl1 0.000 0.000 0.500
Tl2 0.000 0.339 0.500
Bi1 0.000 0.500 0.000
Se1 0.212 0.000 0.197
Se2 0.244 0.323 0.201
```

The formation energy (no corrections) comes out at -0.985 eV/atom.

=====

No. 3
Compound: FeSiTe
Source: Alexandria
Functional: PBE-GGA
Structure: relaxed

```
data_FeSiTe
_chemical_formula_sum 'Fe2 Si2 Te2'
_cell_length_a 2.992
_cell_length_b 2.992
_cell_length_c 12.456
_cell_angle_alpha 90.00
_cell_angle_beta 90.00
_cell_angle_gamma 90.00
_space_group_name_H-M_alt 'I 4 m m'
_space_group_IT_number 107
_space_group_name_Hall 'I 4 -2'
loop_
_atom_site_label
_atom_site_fract_x
_atom_site_fract_y
_atom_site_fract_z
Fe1 0.000 0.000 0.000
Si1 0.000 0.000 0.568
Te1 0.000 0.000 0.795
```

As for the distance to the lowest polymorph of the same formula: 14 meV per atom. The formation energy (no corrections) comes out at 0.158 eV/atom.